(1)
VASP calculation (PBE) on a geometry-optimized TbPaPt6 structure.

a b c (Å): 4.1557 4.1557 8.2771
angles (deg): 90.00 90.00 90.00
Last column: nearest neighbours and their distance in Å.
Fractional positions:
1 Pt 0.5000 0.0000 0.7457  2 Pa 2.91, 8 Pt 2.91-2.96, 2 Tb 2.96
2 Pt 0.0000 0.5000 0.2543  2 Pa 2.91, 8 Pt 2.91-2.96, 2 Tb 2.96
3 Tb 0.0000 0.0000 0.0000  12 Pt 2.94-2.96
4 Pt 0.5000 0.5000 0.5000  8 Pt 2.91, 4 Pa 2.94
5 Pt 0.0000 0.5000 0.7457  2 Pa 2.91, 8 Pt 2.91-2.96, 2 Tb 2.96
6 Pt 0.5000 0.5000 0.0000  4 Tb 2.94, 8 Pt 2.96
7 Pa 0.0000 0.0000 0.5000  12 Pt 2.91-2.94
8 Pt 0.5000 0.0000 0.2543  8 Pt 2.91-2.96, 2 Pa 2.91, 2 Tb 2.96

Results
The total energy is -7.368 eV/atom.

---

(2)
VASP calculation (PBE) on a geometry-optimized TbPa2Pt9 structure.

a b c (Å): 4.1694 4.1694 12.4412
angles (deg): 90.00 90.00 90.00
Last column: nearest neighbours and their distance in Å.
Fractional positions:
1 Pt 0.5000 0.5000 0.3328  8 Pt 2.92-2.95, 4 Pa 2.95
2 Pt 0.5000 0.5000 0.0000  4 Tb 2.95, 8 Pt 2.95
3 Pt 0.0000 0.5000 0.5000  8 Pt 2.95, 4 Pa 2.96
4 Pt 0.5000 0.0000 0.5000  8 Pt 2.95, 4 Pa 2.96
5 Pt 0.5000 0.0000 0.8317  2 Pa 2.90, 8 Pt 2.92-2.95, 2 Tb 2.95
6 Tb 0.0000 0.0000 0.0000  12 Pt 2.95
7 Pt 0.0000 0.5000 0.1683  2 Pa 2.90, 8 Pt 2.92-2.95, 2 Tb 2.95
8 Pt 0.5000 0.5000 0.6672  8 Pt 2.92-2.95, 4 Pa 2.95
9 Pt 0.0000 0.5000 0.8317  2 Pa 2.90, 8 Pt 2.92-2.95, 2 Tb 2.95
10 Pa 0.0000 0.0000 0.3309  12 Pt 2.90-2.96
11 Pt 0.5000 0.0000 0.1683  2 Pa 2.90, 8 Pt 2.92-2.95, 2 Tb 2.95
12 Pa 0.0000 0.0000 0.6691  12 Pt 2.90-2.96

Results
The total energy is -7.511 eV/atom.

---

The evaluated theoretical density for the records listed, in turn: 18.13 18.25 Mg/m³.